Here is a relaxed CaMg2Te crystal from the Alexandria database. Energies are from PBE-GGA.

Cell: 4.029 4.029 6.765 Å, 90.00 90.00 90.00°
Fractional positions:
1 Ca 0.000 0.000 0.000
2 Mg 0.000 0.000 0.489
3 Mg 0.500 0.500 0.305
4 Te 0.500 0.500 0.774

Output
* formation energy without anion corrections: -492 meV/atom

---

Here is a relaxed NdTc2P2 crystal from the Alexandria database. Energies are from PBE-GGA.

Cell: 5.743 5.743 5.743 Å, 137.29 137.29 62.00°
Fractional positions:
1 Nd 0.000 0.000 0.000
2 Tc 0.250 0.750 0.500
3 Tc 0.750 0.250 0.500
4 P 0.362 0.362 0.000
5 P 0.638 0.638 0.000

Output
* energy of formation from the pure elements: -895 meV per atom

---

Here is a relaxed Mg2CrIN crystal from the Alexandria database. Energies are from PBE-GGA.

Cell: 4.070 4.070 7.938 Å, 90.00 90.00 90.00°
Fractional positions:
1 Mg 0.000 0.500 0.000
2 Mg 0.500 0.000 0.000
3 Cr 0.000 0.000 0.500
4 I 0.500 0.500 0.500
5 N 0.500 0.500 0.000

Output
* formation energy without anion corrections: 193 meV/atom

---

Here is a relaxed RhWBr3 crystal from the Alexandria database. Energies are from PBE-GGA.

Cell: 5.044 5.044 5.044 Å, 90.00 90.00 90.00°
Fractional positions:
1 Rh 0.000 0.000 0.000
2 W 0.500 0.500 0.500
3 Br 0.000 0.500 0.500
4 Br 0.500 0.000 0.500
5 Br 0.500 0.500 0.000

Output
* formation energy without anion corrections: 1101 meV/atom

---

no.,DOS at the Fermi energy (states/eV/f.u.),calculated density (g/cm³)
1,1.38,3.27
2,3.62,7.76
3,1.84,3.05
4,14.87,6.81